## NaMg2NiGe (PBE-GGA)

Data for NaMg2NiGe after structural relaxation.

Cell and atoms, written as extended XYZ:
```
5
Lattice="-2.7789 2.9145 -2.8353 -0.8557 -3.7765 -3.0433 -3.6175 -1.1144 2.4001" Properties=species:S:1:pos:R:3 pbc="T T T"
Mg -1.3895 1.4572 -1.4176
Ni 0.0000 0.0000 0.0000
Na -3.6261 -0.9882 -1.7393
Ge -1.8088 -0.5572 1.2000
Mg -0.4278 -1.8882 -1.5216
```

Values from the calculation:
space group: P4/mmm
DOS(E_F): 2.2 states/eV/f.u.
electronic total energy: -15.4 eV/cell
energy relative to the elements: -0.097 eV per atom

=====

## Na3Mg2GeO6 (PBE-GGA)

Data for Na3Mg2GeO6 after structural relaxation.

Cell and atoms, written as extended XYZ:
```
12
Lattice="-1.6454 2.7394 4.2397 -3.4498 -1.3083 -3.8177 0.6403 -5.0911 2.4142" Properties=species:S:1:pos:R:3 pbc="T T T"
O -3.7351 -3.5884 1.0155
Ge 0.0000 0.0000 0.0000
Na -2.2274 -1.8300 1.4181
O -0.7198 -0.0716 1.8207
O -3.7319 0.0876 0.7917
O -0.7229 -3.7476 2.0445
Mg -2.2456 1.3931 1.5596
O -1.2781 -1.3239 -0.6723
Na -2.8239 -3.1681 -1.2455
O -3.1768 -2.3360 3.5085
Mg -2.8496 0.0381 -1.1376
Na -1.6310 -0.4919 4.0817
```

Values from the calculation:
space group: C2/m
DOS(E_F): 9.1 states/eV/f.u.
electronic total energy: -64.2 eV/cell
ΔE_f (raw): -1889 meV per atom

=====

## NaMg2GeO4 (PBE-GGA)

Data for NaMg2GeO4 after structural relaxation.

Cell and atoms, written as extended XYZ:
```
8
Lattice="5.5676 -0.4167 -0.6005 -3.0460 4.6790 0.6005 -3.0460 -1.0751 4.5933" Properties=species:S:1:pos:R:3 pbc="T T T"
O 0.6451 1.2767 1.8399
O -2.7861 2.8670 4.1317
Mg -0.2622 3.0322 1.2984
O -2.2376 0.1050 2.7534
Mg -0.2622 0.1551 3.2948
Ge -3.0460 1.8020 2.5969
Na 0.0000 0.0000 0.0000
O -2.2376 2.5425 1.0621
```

Values from the calculation:
space group: I-42m
DOS(E_F): 1.3 states/eV/f.u.
electronic total energy: -44.7 eV/cell
ΔE_f (raw): -1964 meV per atom

=====

## Na2MgGeO4 (PBE-GGA)

Data for Na2MgGeO4 after structural relaxation.

Cell and atoms, written as extended XYZ:
```
16
Lattice="5.7144 0.0000 0.0000 0.0000 5.4274 0.0007 0.0000 5.4392 7.1796" Properties=species:S:1:pos:R:3 pbc="T T T"
O 4.5429 3.0801 0.7498
O 4.8564 8.1801 3.6646
Na 3.8294 7.8107 5.7893
O 0.8580 5.4605 0.0748
Na 1.8850 5.0911 2.1995
O 3.5224 5.4520 6.0123
O 4.0418 5.9586 2.0143
Ge 3.9117 2.2947 2.2157
Na 1.0193 2.3652 0.4410
O 1.1715 5.7997 4.3396
Mg 1.0556 7.7449 3.9924
Ge 1.8027 5.0143 5.8055
O 1.6726 8.6781 5.6041
O 2.1920 2.7324 2.4225
Na 4.6951 5.0847 4.0308
Mg 4.6588 5.0253 0.4026
```

Values from the calculation:
space group: Pc
DOS(E_F): 0.0 states/eV/f.u.
ΔE to the lowest computed polymorph: 0 meV/atom
electronic total energy: -89.9 eV/cell
ΔE_f (raw): -2035 meV per atom

=====

## Na2MgGeO4 (PBE-GGA)

Data for Na2MgGeO4 after structural relaxation.

Cell and atoms, written as extended XYZ:
```
8
Lattice="-0.1417 4.4361 3.0781 0.7388 -0.1477 4.9857 4.1081 2.7698 0.9361" Properties=species:S:1:pos:R:3 pbc="T T T"
O 2.6726 5.7780 3.3381
Na 2.3526 3.5291 4.5000
Na 2.4235 1.3111 2.9609
O 0.2185 0.4967 1.9687
O 1.2321 3.3604 2.0171
O 0.4404 1.8592 4.7542
Ge -0.0708 2.2180 1.5391
Mg 0.0000 0.0000 0.0000
```

Values from the calculation:
space group: I-42m
DOS(E_F): 0.0 states/eV/f.u.
ΔE to the lowest computed polymorph: 203 meV/atom
electronic total energy: -43.3 eV/cell
ΔE_f (raw): -1832 meV per atom

=====

## NaMgGe2Os (PBE-GGA)

Data for NaMgGe2Os after structural relaxation.

Cell and atoms, written as extended XYZ:
```
5
Lattice="4.8172 0.0000 0.0000 0.0000 4.8846 0.0000 0.0000 0.0000 4.8172" Properties=species:S:1:pos:R:3 pbc="T T T"
Os 0.0000 2.4423 0.0000
Ge 2.4086 0.0000 0.0000
Mg 2.4086 2.4423 2.4086
Na 0.0000 0.0000 0.0000
Ge 0.0000 0.0000 2.4086
```

Values from the calculation:
space group: P4/mmm
DOS(E_F): 4.4 states/eV/f.u.
electronic total energy: -15.4 eV/cell
energy relative to the elements: 1.599 eV per atom

=====

## NaMgGePb (PBE-GGA)

Data for NaMgGePb after structural relaxation.

Cell and atoms, written as extended XYZ:
```
4
Lattice="-2.0659 4.6732 0.2748 -4.4066 0.7061 2.5032 -0.0378 2.5228 4.4516" Properties=species:S:1:pos:R:3 pbc="T T T"
Ge -3.2552 3.9511 3.6148
Na -1.6276 1.9755 1.8074
Mg -4.8828 5.9266 5.4222
Pb 0.0000 0.0000 0.0000
```

Values from the calculation:
space group: F-43m
DOS(E_F): 1.1 states/eV/f.u.
electronic total energy: -11.4 eV/cell
energy relative to the elements: -0.038 eV per atom

=====

## Na2MgGe4Pd3 (PBE-GGA)

Data for Na2MgGe4Pd3 after structural relaxation.

Cell and atoms, written as extended XYZ:
```
10
Lattice="-0.1890 -3.7294 1.7745 3.7355 -0.9120 -1.5189 4.8761 4.2459 9.4426" Properties=species:S:1:pos:R:3 pbc="T T T"
Pd 2.4380 2.1229 4.7213
Ge 0.0000 0.0000 0.0000
Ge 3.5768 1.0321 2.5501
Pd 2.5131 0.1059 0.4903
Na 1.1168 -0.8100 3.2329
Na 5.5325 2.7351 6.3375
Ge 1.7732 -2.3207 0.1278
Mg 4.2113 -0.1978 4.8491
Pd 4.1362 1.8192 9.0802
Ge 3.0725 0.8930 7.0203
```

Values from the calculation:
space group: P-4m2
DOS(E_F): 5.4 states/eV/f.u.
electronic total energy: -41.1 eV/cell
energy relative to the elements: -0.286 eV per atom

=====

## Na2MgGe3Pt4 (PBE-GGA)

Data for Na2MgGe3Pt4 after structural relaxation.

Cell and atoms, written as extended XYZ:
```
10
Lattice="-3.1305 2.6478 -0.7936 -2.6105 -2.4379 2.1639 2.3691 5.5222 9.0794" Properties=species:S:1:pos:R:3 pbc="T T T"
Na 0.4844 2.9527 7.9408
Pt -0.0450 4.8676 5.4295
Pt -0.4564 0.7596 4.3350
Ge 0.4893 6.1130 7.4772
Pt -2.8705 0.1050 0.6852
Pt 0.0000 0.0000 0.0000
Ge -0.9907 -0.4858 2.2874
Mg -1.6860 2.8661 5.2249
Ge 1.1845 2.7611 4.5397
Na -0.9859 2.6745 1.8238
```

Values from the calculation:
space group: P-4m2
DOS(E_F): 4.1 states/eV/f.u.
electronic total energy: -47.7 eV/cell
energy relative to the elements: -0.542 eV per atom

=====

## NaMg2GeRu (PBE-GGA)

Data for NaMg2GeRu after structural relaxation.

Cell and atoms, written as extended XYZ:
```
5
Lattice="-4.8780 1.2346 0.2156 -1.2485 -4.7109 -1.2706 -0.1030 -1.2052 4.5695" Properties=species:S:1:pos:R:3 pbc="T T T"
Ge -0.0515 -0.6026 2.2847
Mg -2.4390 0.6173 0.1078
Ru 0.0000 0.0000 0.0000
Mg -0.6243 -2.3555 -0.6353
Na -3.1148 -2.3407 1.7572
```

Values from the calculation:
space group: P4/mmm
DOS(E_F): 1.4 states/eV/f.u.
electronic total energy: -18.7 eV/cell
energy relative to the elements: -0.064 eV per atom

=====

## NaMgGe2S (PBE-GGA)

Data for NaMgGe2S after structural relaxation.

Cell and atoms, written as extended XYZ:
```
5
Lattice="-2.9643 3.7572 -1.5208 -2.3077 -3.2073 -3.4254 -3.3939 -1.2706 3.4761" Properties=species:S:1:pos:R:3 pbc="T T T"
Ge -1.4822 1.8786 -0.7604
Mg -1.1539 -1.6036 -1.7127
Na 0.0000 0.0000 0.0000
Ge -1.6970 -0.6353 1.7381
S -4.3330 -0.3603 -0.7351
```

Values from the calculation:
space group: P4/mmm
DOS(E_F): 2.2 states/eV/f.u.
electronic total energy: -11.4 eV/cell
ΔE_f (raw): 968 meV per atom

=====

## NaMgGe2Sb (PBE-GGA)

Data for NaMgGe2Sb after structural relaxation.

Cell and atoms, written as extended XYZ:
```
5
Lattice="-4.7356 1.5336 -1.0131 0.1638 -2.4681 -4.5013 -1.8309 -4.1825 2.2267" Properties=species:S:1:pos:R:3 pbc="T T T"
Ge -2.3678 0.7668 -0.5066
Na 0.0000 0.0000 0.0000
Sb -3.2013 -2.5586 -1.6439
Mg 0.0819 -1.2341 -2.2507
Ge -0.9154 -2.0913 1.1134
```

Values from the calculation:
space group: P4/mmm
DOS(E_F): 3.2 states/eV/f.u.
electronic total energy: -12.3 eV/cell
ΔE_f (raw): 803 meV per atom

=====

## NaMgScGe2 (PBE-GGA)

Data for NaMgScGe2 after structural relaxation.

Cell and atoms, written as extended XYZ:
```
5
Lattice="4.9853 0.0000 0.0000 0.0000 4.8215 0.0000 0.0000 0.0000 4.9853" Properties=species:S:1:pos:R:3 pbc="T T T"
Ge 0.0000 0.0000 2.4926
Na 0.0000 2.4108 0.0000
Ge 2.4926 0.0000 0.0000
Sc 2.4926 2.4108 2.4926
Mg 0.0000 0.0000 0.0000
```

Values from the calculation:
space group: P4/mmm
DOS(E_F): 2.7 states/eV/f.u.
electronic total energy: -16.4 eV/cell
energy relative to the elements: 0.424 eV per atom

=====

## NaMg2GeSe4 (PBE-GGA)

Data for NaMg2GeSe4 after structural relaxation.

Cell and atoms, written as extended XYZ:
```
16
Lattice="-1.6608 -3.9022 -5.4826 -0.9779 -5.9225 4.5115 -8.4830 2.1775 1.0199" Properties=species:S:1:pos:R:3 pbc="T T T"
Se -2.3323 -8.5382 -1.1693
Se -5.0712 -1.4271 -1.0193
Se -6.4471 -6.9482 -0.6762
Mg -8.7168 -6.1754 -1.7052
Se -7.5038 -3.7726 1.6984
Na -1.6464 -6.9510 1.1465
Se -3.5100 -4.7978 1.2183
Se -3.7754 -4.8902 -3.0171
Mg -3.3254 -3.3780 -0.9479
Ge -1.8358 -4.9714 -4.6552
Mg -4.3768 -7.2894 -2.2270
Se -8.2645 -3.7379 -2.4774
Se -0.8129 -2.6803 -1.0390
Ge -5.8697 -5.7037 1.4695
Mg -7.4684 -2.3145 -0.4498
Na -6.0331 -3.6630 -4.2464
```

Values from the calculation:
space group: Pmn2_1
DOS(E_F): 5.6 states/eV/f.u.
electronic total energy: -59.7 eV/cell
ΔE_f (raw): -849 meV per atom

=====

## NaMgSnGe (PBE-GGA)

Data for NaMgSnGe after structural relaxation.

Cell and atoms, written as extended XYZ:
```
4
Lattice="-4.8037 0.0246 1.5826 -1.1375 -1.6199 4.6544 -1.4812 3.3004 3.5347" Properties=species:S:1:pos:R:3 pbc="T T T"
Mg 0.0000 0.0000 0.0000
Ge -1.8556 0.4263 2.4429
Na -3.7112 0.8526 4.8859
Sn -5.5668 1.2789 7.3288
```

Values from the calculation:
space group: F-43m
DOS(E_F): 2.0 states/eV/f.u.
electronic total energy: -11.7 eV/cell
energy relative to the elements: -0.052 eV per atom

=====

## NaMgGeTe3 (PBE-GGA)

Data for NaMgGeTe3 after structural relaxation.

Cell and atoms, written as extended XYZ:
```
12
Lattice="-3.0784 -1.6277 -2.3602 -0.6168 -6.6260 5.3738 -6.7717 7.1612 3.8936" Properties=species:S:1:pos:R:3 pbc="T T T"
Ge -5.1328 3.3700 2.4962
Te -6.8179 5.4390 3.2671
Ge -5.3341 -4.4624 4.4111
Na -8.0602 -0.7587 5.4126
Te -6.5823 2.0433 5.3016
Te -5.7852 0.8999 1.3015
Te -4.6817 -1.9923 5.6057
Te -3.6490 -6.5314 3.6401
Mg -1.7435 -4.1740 3.2781
Te -3.8846 -3.1357 1.6056
Na -2.4067 -0.3337 1.4946
Mg -8.7234 3.0816 3.6292
```

Values from the calculation:
space group: P2_1/m
DOS(E_F): 2.9 states/eV/f.u.
electronic total energy: -39.6 eV/cell
ΔE_f (raw): -472 meV per atom

=====

## NaMgTiGe2 (PBE-GGA)

Data for NaMgTiGe2 after structural relaxation.

Cell and atoms, written as extended XYZ:
```
5
Lattice="4.9543 0.0000 0.0000 0.0000 4.7609 0.0000 0.0000 0.0000 4.9543" Properties=species:S:1:pos:R:3 pbc="T T T"
Ti 0.0000 2.3804 0.0000
Mg 2.4772 2.3804 2.4772
Ge 2.4772 0.0000 0.0000
Na 0.0000 0.0000 0.0000
Ge 0.0000 0.0000 2.4772
```

Values from the calculation:
space group: P4/mmm
DOS(E_F): 6.7 states/eV/f.u.
electronic total energy: -14.6 eV/cell
energy relative to the elements: 1.088 eV per atom

=====

## NaMgTlGe (PBE-GGA)

Data for NaMgTlGe after structural relaxation.

Cell and atoms, written as extended XYZ:
```
4
Lattice="-2.8698 -3.8471 -1.6259 0.3679 -4.5457 2.2092 -3.7903 -1.7293 2.8849" Properties=species:S:1:pos:R:3 pbc="T T T"
Mg -1.5730 -2.5305 0.8671
Na -4.7191 -7.5915 2.6012
Ge 0.0000 0.0000 0.0000
Tl -3.1461 -5.0610 1.7341
```

Values from the calculation:
space group: F-43m
DOS(E_F): 1.4 states/eV/f.u.
electronic total energy: -10.1 eV/cell
energy relative to the elements: -0.058 eV per atom

=====

## Na2MgZn4Ge3 (PBE-GGA)

Data for Na2MgZn4Ge3 after structural relaxation.

Cell and atoms, written as extended XYZ:
```
10
Lattice="-0.4142 2.8619 -3.0245 -2.9437 -2.3509 -1.8214 -8.0338 5.3125 6.1271" Properties=species:S:1:pos:R:3 pbc="T T T"
Zn -5.4285 4.8837 2.4700
Zn 0.0000 0.0000 0.0000
Ge -2.5540 -0.4598 -0.0853
Na -7.6000 2.8769 3.7631
Mg -5.6958 2.9118 0.6407
Zn -1.6789 0.2555 -2.4229
Ge -4.0169 2.6563 3.0636
Na -2.1128 2.6911 -0.0589
Ge -7.1587 6.0278 3.7895
Zn -4.2842 0.6843 1.2342
```

Values from the calculation:
space group: P-4m2
DOS(E_F): 4.9 states/eV/f.u.
electronic total energy: -23.9 eV/cell
energy relative to the elements: -0.071 eV per atom

=====

## NaMgZnGe (PBE-GGA)

Data for NaMgZnGe after structural relaxation.

Cell and atoms, written as extended XYZ:
```
4
Lattice="4.8098 0.0000 0.0000 2.4049 4.1654 0.0000 2.4049 1.3885 3.9272" Properties=species:S:1:pos:R:3 pbc="T T T"
Mg 4.8098 2.7769 1.9636
Zn 7.2147 4.1654 2.9454
Na 0.0000 0.0000 0.0000
Ge 2.4049 1.3885 0.9818
```

Values from the calculation:
space group: F-43m
DOS(E_F): 1.9 states/eV/f.u.
electronic total energy: -8.8 eV/cell
energy relative to the elements: 0.005 eV per atom

=====

## NaMg2Zn2Ge2 (PBE-GGA)

Data for NaMg2Zn2Ge2 after structural relaxation.

Cell and atoms, written as extended XYZ:
```
7
Lattice="-0.3044 -3.9700 2.0253 3.1679 -3.0835 -0.6416 5.2531 0.6901 7.0688" Properties=species:S:1:pos:R:3 pbc="T T T"
Zn 5.0816 -2.4577 5.7992
Ge 2.0344 -1.5871 2.1213
Mg 4.6140 -5.8150 4.0745
Ge 6.0821 -4.7763 6.3312
Mg 3.5025 -0.5484 4.3780
Zn 3.0350 -3.9057 2.6532
Na 0.0000 0.0000 0.0000
```

Values from the calculation:
space group: R-3m
DOS(E_F): 2.1 states/eV/f.u.
electronic total energy: -17.0 eV/cell
energy relative to the elements: -0.098 eV per atom

=====

## Na2MgZn3Ge4 (PBE-GGA)

Data for Na2MgZn3Ge4 after structural relaxation.

Cell and atoms, written as extended XYZ:
```
10
Lattice="-0.2833 4.1644 -0.6549 -3.7500 -0.5488 -1.8677 -5.1786 1.2263 10.0375" Properties=species:S:1:pos:R:3 pbc="T T T"
Zn -2.5893 0.6132 5.0188
Na -5.7554 0.6445 6.5874
Ge -3.7221 0.1630 2.6464
Ge -3.4731 2.8711 6.1298
Ge -2.0166 1.8078 -1.2613
Zn -4.5877 3.1350 8.2901
Na -1.4399 2.3896 2.1889
Ge 0.0000 0.0000 0.0000
Mg -4.6059 2.4210 3.7575
Zn -2.6076 -0.1009 0.4861
```

Values from the calculation:
space group: P-4m2
DOS(E_F): 2.8 states/eV/f.u.
electronic total energy: -27.4 eV/cell
energy relative to the elements: -0.089 eV per atom

=====

## NaMg2ZnGe (PBE-GGA)

Data for NaMg2ZnGe after structural relaxation.

Cell and atoms, written as extended XYZ:
```
5
Lattice="-0.6952 1.0762 5.1580 -0.1149 -4.9246 1.0120 5.2677 0.0221 0.7054" Properties=species:S:1:pos:R:3 pbc="T T T"
Mg 2.6339 0.0110 0.3527
Ge -0.0575 -2.4623 0.5060
Mg -0.3476 0.5381 2.5790
Zn 2.2288 -1.9132 3.4377
Na 0.0000 0.0000 0.0000
```

Values from the calculation:
space group: P4/mmm
DOS(E_F): 3.4 states/eV/f.u.
electronic total energy: -6.2 eV/cell
energy relative to the elements: 0.834 eV per atom

=====

## NaMgZn2Ge2 (PBE-GGA)

Data for NaMgZn2Ge2 after structural relaxation.

Cell and atoms, written as extended XYZ:
```
6
Lattice="4.2606 0.0000 0.0000 -2.1303 3.6898 0.0000 0.0000 0.0000 7.8321" Properties=species:S:1:pos:R:3 pbc="T T T"
Zn 2.1303 1.2299 2.3366
Ge 0.0000 2.4599 2.0754
Ge 2.1303 1.2299 5.7567
Zn 0.0000 2.4599 5.4955
Na 0.0000 0.0000 0.0000
Mg 0.0000 0.0000 3.9160
```

Values from the calculation:
space group: P-3m1
DOS(E_F): 2.6 states/eV/f.u.
electronic total energy: -15.1 eV/cell
energy relative to the elements: -0.075 eV per atom

=====

## Mg2NbGe (PBE-GGA)

Data for Mg2NbGe after structural relaxation.

Cell and atoms, written as extended XYZ:
```
8
Lattice="-1.1172 -5.8496 -4.9214 5.7067 2.6712 -4.4704 4.0574 -3.0730 -3.3324" Properties=species:S:1:pos:R:3 pbc="T T T"
Mg 4.9530 -3.4083 -6.1692
Mg 4.4044 -0.0235 -4.4052
Nb 2.6175 -5.2559 -6.4749
Ge 6.0295 -0.9955 -6.2494
Ge 2.2948 -1.5892 -4.6959
Mg 1.0664 -3.8968 -4.3049
Nb 0.0000 0.0000 0.0000
Mg 6.8701 -5.1743 -10.5693
```

Values from the calculation:
space group: I-42d
DOS(E_F): 3.2 states/eV/f.u.
electronic total energy: -33.2 eV/cell
energy relative to the elements: 0.316 eV per atom

=====

In μB per cell, the spin magnetization values for the records above are, in order, 0.00, 1.10, 0.00, 0.00, 0.00, 1.30, 0.00, 0.00, 0.00, 0.00, 0.00, 0.00, 0.00, 0.00, 0.00, 0.00, 0.02, 0.00, 0.00, 0.00, 0.00, 0.00, 0.00, 0.00, 0.00.